Entry 1:
# BaZn2Rh | the Alexandria database | PBE | optimized geometry
data_BaZn2Rh
_symmetry_space_group_name_H-M 'P 4/m m m'
_symmetry_Int_Tables_number 123
_symmetry_space_group_name_Hall '-P 4 2'
_cell_length_a 3.288
_cell_length_b 3.288
_cell_length_c 7.684
_cell_angle_alpha 90.00
_cell_angle_beta 90.00
_cell_angle_gamma 90.00
loop_
_atom_site_label
_atom_site_fract_x
_atom_site_fract_y
_atom_site_fract_z
Ba1 0.000 0.000 0.000
Zn1 0.500 0.500 0.331
Rh1 0.000 0.000 0.500
# formation enthalpy at 0 K = -0.128 eV/atom
# DFT total energy = -3.08 eV per atom


Entry 2:
# Ta2MoPb | the Alexandria database | PBE | optimized geometry
data_Ta2MoPb
_symmetry_space_group_name_H-M 'R 3 m'
_symmetry_Int_Tables_number 160
_symmetry_space_group_name_Hall 'R 3 -2"'
_cell_length_a 3.1896
_cell_length_b 3.1896
_cell_length_c 27.0585
_cell_angle_alpha 90.00
_cell_angle_beta 90.00
_cell_angle_gamma 120.00
loop_
_atom_site_label
_atom_site_fract_x
_atom_site_fract_y
_atom_site_fract_z
Ta1 0.0000 0.0000 0.0000
Ta2 0.0000 0.0000 0.2531
Mo1 0.0000 0.0000 0.5151
Pb1 0.0000 0.0000 0.7603
# formation enthalpy at 0 K = 0.469 eV/atom
# DFT total energy = -9.09 eV per atom


Entry 3:
# LaTbNdTm3 | the Alexandria database | PBE | optimized geometry
data_LaTbNdTm3
_symmetry_space_group_name_H-M 'C m c m'
_symmetry_Int_Tables_number 63
_symmetry_space_group_name_Hall '-C 2c 2'
_cell_length_a 5.835
_cell_length_b 11.527
_cell_length_c 11.677
_cell_angle_alpha 90.00
_cell_angle_beta 90.00
_cell_angle_gamma 90.00
loop_
_atom_site_label
_atom_site_fract_x
_atom_site_fract_y
_atom_site_fract_z
La1 0.000 0.006 0.250
Tb1 0.000 0.323 0.250
Nd1 0.000 0.500 0.000
Tm1 0.000 0.175 0.505
Tm2 0.000 0.330 0.750
# formation enthalpy at 0 K = 0.107 eV/atom
# DFT total energy = -4.52 eV per atom